Sm3Ge: relaxed, PBE.

Cell lengths 5.983, 5.983, 5.983 Å; angles 134.11, 134.11, 66.92 degrees
Fractional coordinates of all 4 atoms:
Sm 0.000 0.000 0.000
Sm 0.250 0.750 0.500
Sm 0.750 0.250 0.500
Ge 0.500 0.500 0.000

Output
V	108.6	Å³/f.u.
VASP energy	-0.367	Ry per atom
energy relative to the elements	-1.18	eV/f.u.